(1)
Here is crystalline CuAg3Rh at its relaxed geometry from Alexandria. Energies are from PBE.

a b c (Å): 4.678 4.678 4.678
angles (deg): 90.00 90.00 90.00
Sites, in units of the cell vectors:
Ag  0.500  0.000  0.000
Ag  0.000  0.500  0.000
Cu  0.000  0.000  0.000
Ag  0.000  0.000  0.500
Rh  0.500  0.500  0.500

SG	Pm-3m, No. 221

---

(2)
Here is crystalline Cu2AgRh at its relaxed geometry from Alexandria. Energies are from PBE.

a b c (Å): 8.946 8.946 8.946
angles (deg): 17.54 17.54 17.54
Sites, in units of the cell vectors:
Rh  0.506  0.506  0.506
Ag  0.747  0.747  0.747
Cu  0.994  0.994  0.994
Cu  0.253  0.253  0.253

SG	R3m, No. 160

---

What did we get for energy relative to the lowest polymorph listed for this composition? Answer: 0.000, 0.044 eV per atom, in the order shown.
What did we get for density of states at the Fermi level? Answer: 0.696, 1.045 states/eV per atom, in the order shown.
What did we get for formation energy from the elements? Answer: 0.972, 0.150 eV per atom, in the order shown.